Entry 1:
DFT (GGA-PBE) results for Cr2CdTe after structural relaxation.

Results
Electronic total energy   -5.3302 eV/atom
SG   No. 12
Uncorrected formation energy   47.8 kJ per mole of atoms
Energy above the most stable polymorph in this dataset   187.3 meV per atom

```
data_Cr2CdTe
_cell_length_a 4.603
_cell_length_b 4.603
_cell_length_c 5.803
_cell_angle_alpha 76.49
_cell_angle_beta 76.49
_cell_angle_gamma 46.22
_symmetry_space_group_name_H-M 'P 1'
_symmetry_Int_Tables_number 1
_symmetry_space_group_name_Hall 'P 1'
loop_
_atom_site_label
_atom_site_fract_x
_atom_site_fract_y
_atom_site_fract_z
Cr1 0.007 0.007 0.000
Cr2 0.493 0.493 0.500
Te1 0.750 0.750 0.750
Cd1 0.250 0.250 0.250
```

Entry 2:
DFT (GGA-PBE) results for Cr2CdTe after structural relaxation.

Results
Electronic total energy   -5.3195 eV/atom
SG   No. 71
Uncorrected formation energy   48.9 kJ per mole of atoms
Energy above the most stable polymorph in this dataset   198.0 meV per atom

```
data_Cr2CdTe
_cell_length_a 5.158
_cell_length_b 5.158
_cell_length_c 5.158
_cell_angle_alpha 128.64
_cell_angle_beta 128.46
_cell_angle_gamma 75.74
_symmetry_space_group_name_H-M 'P 1'
_symmetry_Int_Tables_number 1
_symmetry_space_group_name_Hall 'P 1'
loop_
_atom_site_label
_atom_site_fract_x
_atom_site_fract_y
_atom_site_fract_z
Cr1 0.500 0.500 0.000
Cr2 0.000 0.000 0.000
Te1 0.750 0.250 0.500
Cd1 0.250 0.750 0.500
```

Entry 3:
DFT (GGA-PBE) results for Cr2CdTe after structural relaxation.

Results
Electronic total energy   -5.2894 eV/atom
SG   No. 225
Uncorrected formation energy   51.8 kJ per mole of atoms
Energy above the most stable polymorph in this dataset   228.1 meV per atom

```
data_Cr2CdTe
_cell_length_a 4.879
_cell_length_b 4.879
_cell_length_c 4.879
_cell_angle_alpha 60.00
_cell_angle_beta 60.00
_cell_angle_gamma 60.00
_symmetry_space_group_name_H-M 'P 1'
_symmetry_Int_Tables_number 1
_symmetry_space_group_name_Hall 'P 1'
loop_
_atom_site_label
_atom_site_fract_x
_atom_site_fract_y
_atom_site_fract_z
Cr1 0.250 0.250 0.250
Cr2 0.750 0.750 0.750
Te1 0.500 0.500 0.500
Cd1 0.000 0.000 0.000
```

Entry 4:
DFT (GGA-PBE) results for Cr2CdTe after structural relaxation.

Results
Electronic total energy   -5.3342 eV/atom
SG   No. 166
Uncorrected formation energy   47.4 kJ per mole of atoms
Energy above the most stable polymorph in this dataset   183.3 meV per atom

```
data_Cr2CdTe
_cell_length_a 8.059
_cell_length_b 8.059
_cell_length_c 8.059
_cell_angle_alpha 25.43
_cell_angle_beta 25.43
_cell_angle_gamma 25.43
_symmetry_space_group_name_H-M 'P 1'
_symmetry_Int_Tables_number 1
_symmetry_space_group_name_Hall 'P 1'
loop_
_atom_site_label
_atom_site_fract_x
_atom_site_fract_y
_atom_site_fract_z
Cd1 0.750 0.750 0.750
Te1 0.250 0.250 0.250
Cr1 0.995 0.995 0.995
Cr2 0.505 0.505 0.505
```

Entry 5:
DFT (GGA-PBE) results for Cr3CdTe after structural relaxation.

Results
Electronic total energy   -5.4916 eV/atom
SG   No. 221
Uncorrected formation energy   105.5 kJ per mole of atoms
Energy above the most stable polymorph in this dataset   0.0 meV per atom

```
data_Cr3CdTe
_cell_length_a 5.146
_cell_length_b 5.146
_cell_length_c 5.146
_cell_angle_alpha 90.00
_cell_angle_beta 90.00
_cell_angle_gamma 90.00
_symmetry_space_group_name_H-M 'P 1'
_symmetry_Int_Tables_number 1
_symmetry_space_group_name_Hall 'P 1'
loop_
_atom_site_label
_atom_site_fract_x
_atom_site_fract_y
_atom_site_fract_z
Cd1 0.500 0.500 0.500
Te1 0.000 0.000 0.000
Cr1 0.000 0.500 0.000
Cr2 0.000 0.000 0.500
Cr3 0.500 0.000 0.000
```

Entry 6:
DFT (GGA-PBE) results for CrCd2Te after structural relaxation.

Results
Electronic total energy   -3.3267 eV/atom
SG   No. 216
Uncorrected formation energy   31.1 kJ per mole of atoms

```
data_CrCd2Te
_cell_length_a 5.112
_cell_length_b 5.112
_cell_length_c 5.112
_cell_angle_alpha 60.00
_cell_angle_beta 60.00
_cell_angle_gamma 60.00
_symmetry_space_group_name_H-M 'P 1'
_symmetry_Int_Tables_number 1
_symmetry_space_group_name_Hall 'P 1'
loop_
_atom_site_label
_atom_site_fract_x
_atom_site_fract_y
_atom_site_fract_z
Cd1 0.250 0.250 0.250
Cd2 0.000 0.000 0.000
Cr1 0.500 0.500 0.500
Te1 0.750 0.750 0.750
```

Number 1: Fermi-level density of states 0.68 states/eV per atom. Number 2: Fermi-level density of states 0.69 states/eV per atom. Number 3: Fermi-level density of states 1.12 states/eV per atom. Number 4: Fermi-level density of states 0.76 states/eV per atom. Number 5: Fermi-level density of states 0.65 states/eV per atom. Number 6: Fermi-level density of states 0.17 states/eV per atom.